Compound: Pd3PtPb
Source: Alexandria via LeMat-Bulk
Functional: PBE
Structure: relaxed

```
data_Pd3PtPb
_chemical_formula_sum 'Pd24 Pt8 Pb8'
_cell_length_a 12.4794
_cell_length_b 10.7522
_cell_length_c 5.4105
_cell_angle_alpha 90.00
_cell_angle_beta 103.89
_cell_angle_gamma 90.00
_symmetry_space_group_name_H-M 'C 1 2/c 1'
_symmetry_Int_Tables_number 15
_symmetry_space_group_name_Hall '-C 2yc'
loop_
_atom_site_label
_atom_site_type_symbol
_atom_site_fract_x
_atom_site_fract_y
_atom_site_fract_z
_atom_site_occupancy
Pd1 Pd 0.0995 0.1793 0.4754 1
Pd2 Pd 0.1932 0.4188 0.6327 1
Pd3 Pd 0.1963 0.3262 0.1526 1
Pt1 Pt 0.0000 0.3444 0.7500 1
Pt2 Pt 0.0000 0.4080 0.2500 1
Pb1 Pb 0.1158 0.0938 0.9856 1
```

Calculated values
density of states at the Fermi level	5.91	states/eV/f.u.
raw total energy	-5.127	eV/atom
total magnetic moment	0.00	μB/atom
polymorph energy (0 for the lowest one)	0	meV per atom

Compound: GaBiNF2
Source: Alexandria via LeMat-Bulk
Functional: PBE
Structure: relaxed

```
data_GaBiNF2
_chemical_formula_sum 'Ga1 Bi1 N1 F2'
_cell_length_a 4.2638
_cell_length_b 4.2638
_cell_length_c 3.7324
_cell_angle_alpha 90.00
_cell_angle_beta 90.00
_cell_angle_gamma 90.00
_symmetry_space_group_name_H-M 'P 4/m m m'
_symmetry_Int_Tables_number 123
_symmetry_space_group_name_Hall '-P 4 2'
loop_
_atom_site_label
_atom_site_type_symbol
_atom_site_fract_x
_atom_site_fract_y
_atom_site_fract_z
_atom_site_occupancy
Ga1 Ga 0.0000 0.0000 0.0000 1
Bi1 Bi 0.5000 0.5000 0.5000 1
N1 N 0.0000 0.0000 0.5000 1
F1 F 0.0000 0.5000 0.0000 1
```

Calculated values
density of states at the Fermi level	1.40	states/eV/f.u.
raw total energy	-4.658	eV/atom
raw formation energy	-862.7	meV/atom
total magnetic moment	0.00	μB/atom
polymorph energy (0 for the lowest one)	0	meV per atom

Compound: ThH7Ru2
Source: Alexandria via LeMat-Bulk
Functional: PBE
Structure: relaxed

```
data_ThH7Ru2
_chemical_formula_sum 'Th2 H14 Ru4'
_cell_length_a 5.3463
_cell_length_b 9.0255
_cell_length_c 3.5651
_cell_angle_alpha 90.00
_cell_angle_beta 90.00
_cell_angle_gamma 90.00
_symmetry_space_group_name_H-M 'C m m m'
_symmetry_Int_Tables_number 65
_symmetry_space_group_name_Hall '-C 2 2'
loop_
_atom_site_label
_atom_site_type_symbol
_atom_site_fract_x
_atom_site_fract_y
_atom_site_fract_z
_atom_site_occupancy
Th1 Th 0.0000 0.0000 0.0000 1
H1 H 0.0000 0.3045 0.0000 1
H2 H 0.0000 0.5000 0.5000 1
H3 H 0.1808 0.1434 0.5000 1
Ru1 Ru 0.0000 0.3136 0.5000 1
```

Calculated values
density of states at the Fermi level	2.83	states/eV/f.u.
raw total energy	-5.137	eV/atom
total magnetic moment	0.00	μB/atom

Please write out number 3 again, unchanged.
Compound: ThH7Ru2
Source: Alexandria via LeMat-Bulk
Functional: PBE
Structure: relaxed

```
data_ThH7Ru2
_chemical_formula_sum 'Th2 H14 Ru4'
_cell_length_a 5.3463
_cell_length_b 9.0255
_cell_length_c 3.5651
_cell_angle_alpha 90.00
_cell_angle_beta 90.00
_cell_angle_gamma 90.00
_symmetry_space_group_name_H-M 'C m m m'
_symmetry_Int_Tables_number 65
_symmetry_space_group_name_Hall '-C 2 2'
loop_
_atom_site_label
_atom_site_type_symbol
_atom_site_fract_x
_atom_site_fract_y
_atom_site_fract_z
_atom_site_occupancy
Th1 Th 0.0000 0.0000 0.0000 1
H1 H 0.0000 0.3045 0.0000 1
H2 H 0.0000 0.5000 0.5000 1
H3 H 0.1808 0.1434 0.5000 1
Ru1 Ru 0.0000 0.3136 0.5000 1
```

Calculated values
density of states at the Fermi level	2.83	states/eV/f.u.
raw total energy	-5.137	eV/atom
total magnetic moment	0.00	μB/atom

> The lowest raw total energy belongs to which entry?

ThH7Ru2

> Number 1 is which compound?

Pd3PtPb